# PBE+U MnAg3Br2F6, relaxed
data_MnAg3Br2F6
_symmetry_space_group_name_H-M 'C 1 2/m 1'
_symmetry_Int_Tables_number 12
_cell_length_a 12.951
_cell_length_b 6.466
_cell_length_c 5.117
_cell_angle_alpha 90.00
_cell_angle_beta 90.42
_cell_angle_gamma 90.00
loop_
_symmetry_equiv_pos_as_xyz
'x,y,z'
'-x,-y,-z'
'-x,y,-z'
'x,-y,z'
'x+1/2,y+1/2,z'
'-x+1/2,-y+1/2,-z'
'-x+1/2,y+1/2,-z'
'x+1/2,-y+1/2,z'
loop_
_atom_site_label
_atom_site_type_symbol
_atom_site_fract_x
_atom_site_fract_y
_atom_site_fract_z
_atom_site_occupancy
Mn1 Mn 0.000 0.000 0.000 1
Ag1 Ag 0.000 0.500 0.500 1
Ag2 Ag 0.250 0.250 0.000 1
Br1 Br 0.195 0.500 0.371 1
F1 F 0.060 0.207 0.798 1
F2 F 0.119 0.000 0.204 1
# Electronic total energy (eV per atom): -3.88
# Size of the total moment (μB/f.u.): 2.64